a:
Re2RuW: optimized geometry, PBE.

Cell and atoms, written as extended XYZ:
```
4
Lattice="-3.8491 -0.8382 0.2204 0.6792 -3.5228 -1.5372 0.5234 -1.4617 3.5810" Properties=species:S:1:pos:R:3 pbc="T T T"
W -1.6629 -1.1500 1.9007
Re 0.0000 0.0000 0.0000
Re 0.6013 -2.4922 1.0219
Ru -1.5850 -2.1805 -0.6584
```

* total magnetic moment: 0.000 μB/f.u.
* calculated density: 18.16 g/cm³
* SG: P4/mmm, No. 123

b:
Re2RuW: optimized geometry, PBE.

Cell and atoms, written as extended XYZ:
```
4
Lattice="4.3904 0.0000 0.0000 2.1952 3.8022 0.0000 2.1952 1.2674 3.7276" Properties=species:S:1:pos:R:3 pbc="T T T"
W 4.3904 2.5348 1.8674
Re 2.1952 1.2674 3.4601
Re 2.1952 1.2674 0.9159
Ru 6.5857 3.8022 3.0756
```

* total magnetic moment: 0.000 μB/f.u.
* calculated density: 17.54 g/cm³
* SG: R3m, No. 160

c:
Re2RuW: optimized geometry, PBE.

Cell and atoms, written as extended XYZ:
```
4
Lattice="-1.5494 1.0447 2.0194 1.0728 -1.8186 1.7640 5.7998 5.1523 1.7844" Properties=species:S:1:pos:R:3 pbc="T T T"
Ru 1.2117 0.9011 2.3378
Re 2.8361 2.5195 0.8726
Re 0.0637 0.0566 0.0196
W 4.1115 3.4773 3.2300
```

* total magnetic moment: 0.000 μB/f.u.
* calculated density: 18.11 g/cm³
* SG: P4/mmm, No. 123

d:
Re2RuW: optimized geometry, PBE.

Cell and atoms, written as extended XYZ:
```
4
Lattice="4.8328 -0.0050 0.0000 1.7002 4.5238 0.0000 -3.2665 -2.2594 2.7534" Properties=species:S:1:pos:R:3 pbc="T T T"
W 2.4164 -0.0025 1.3767
Re 3.2665 2.2594 0.0000
Re 0.0000 0.0000 0.0000
Ru 0.8501 2.2619 1.3767
```

* total magnetic moment: 0.000 μB/f.u.
* calculated density: 18.13 g/cm³
* SG: I4/mmm, No. 139

Tell me which of them is the least stable. Sure, it is b.

a:
ReRu3W: optimized geometry, PBE.

Cell and atoms, written as extended XYZ:
```
5
Lattice="-0.6283 -4.2858 1.4767 0.3173 -1.5287 -4.3019 4.5220 -0.4882 0.5070" Properties=species:S:1:pos:R:3 pbc="T T T"
W 0.0000 0.0000 0.0000
Ru 0.1586 -0.7643 -2.1509
Ru -0.3141 -2.1429 0.7383
Ru 2.2610 -0.2441 0.2535
Re 2.1055 -3.1514 -1.1591
```

* total magnetic moment: 0.000 μB/f.u.
* calculated density: 11.66 g/cm³
* SG: Pm-3m, No. 221

b:
ReRu3W: optimized geometry, PBE.

Cell and atoms, written as extended XYZ:
```
10
Lattice="-1.2135 -3.7362 -3.2849 5.9094 -5.0743 -3.6759 1.8893 -1.1669 4.6187" Properties=species:S:1:pos:R:3 pbc="T T T"
Re 1.0882 -5.3400 -0.3883
Re 4.0429 -7.8771 -2.2263
Ru 6.4134 -8.8437 -1.9470
Ru 3.7746 -5.2067 -1.4510
Ru 1.9815 -2.6114 -1.4169
Ru 2.8858 -3.1744 0.7793
Ru 5.4284 -8.2398 -4.3694
Ru 3.6353 -5.6445 -4.3353
W 6.0270 -6.3981 -2.6688
W 1.3829 -4.4530 -3.1175
```

* total magnetic moment: 0.000 μB/f.u.
* calculated density: 14.64 g/cm³
* SG: P-1, No. 2

Tell me which of them is the least stable. Sure, it is a.

a:
ReRu4W: optimized geometry, PBE.

Cell and atoms, written as extended XYZ:
```
6
Lattice="0.0000 3.5511 3.5511 3.5511 0.0000 3.5511 3.5511 3.5511 0.0000" Properties=species:S:1:pos:R:3 pbc="T T T"
Ru 2.6614 4.4407 4.4407
Ru 2.6614 2.6614 2.6614
Ru 4.4407 4.4407 2.6614
Ru 4.4407 2.6614 4.4407
Re 0.0000 0.0000 0.0000
W 5.3266 5.3266 5.3266
```

* total magnetic moment: 0.001 μB/f.u.
* calculated density: 14.36 g/cm³
* SG: F-43m, No. 216

b:
ReRu4W: optimized geometry, PBE.

Cell and atoms, written as extended XYZ:
```
6
Lattice="-2.0077 -1.8879 0.1953 2.9521 -3.0188 1.1671 0.0440 2.6625 6.7757" Properties=species:S:1:pos:R:3 pbc="T T T"
Re 0.6951 -2.1816 0.8654
W -1.2004 0.0994 3.3378
Ru 0.0537 -1.0307 5.4644
Ru 1.3781 -0.6599 3.0730
Ru -0.5200 1.6150 5.5375
Ru -1.8810 -1.4331 1.0961
```

* total magnetic moment: 0.000 μB/f.u.
* calculated density: 14.86 g/cm³
* SG: Pm, No. 6

Tell me which of them is the least stable. Sure, it is a.

a:
YReRu2: optimized geometry, PBE.

Cell and atoms, written as extended XYZ:
```
4
Lattice="3.0149 0.0000 0.0000 0.0000 3.0224 -0.0170 0.0000 3.0525 7.5008" Properties=species:S:1:pos:R:3 pbc="T T T"
Y 1.5074 1.5187 1.8709
Ru 0.0000 3.0359 4.0496
Ru 0.0000 3.0541 7.1930
Re 1.5074 4.5562 5.6128
```

* total magnetic moment: 0.000 μB/f.u.
* calculated density: 11.57 g/cm³
* SG: P2/m, No. 10

b:
YReRu2: optimized geometry, PBE.

Cell and atoms, written as extended XYZ:
```
4
Lattice="9.6774 -0.0096 -0.0056 9.2619 2.8052 -0.0056 9.2619 1.3671 2.4495" Properties=species:S:1:pos:R:3 pbc="T T T"
Ru 0.0006 0.0001 0.0001
Ru 20.9059 3.0859 1.8075
Re 7.3343 1.0826 0.6341
Y 14.0609 2.0755 1.2157
```

* total magnetic moment: 0.000 μB/f.u.
* calculated density: 11.85 g/cm³
* SG: R3m, No. 160

Tell me which of them is the least stable. Sure, it is b.

a:
YReRu2: optimized geometry, PBE.

Cell and atoms, written as extended XYZ:
```
4
Lattice="-1.2708 4.3310 1.5725 -2.2963 4.0382 -1.1247 -4.9094 -1.1017 1.9862" Properties=species:S:1:pos:R:3 pbc="T T T"
Re -2.1191 1.8169 0.6085
Ru -3.8053 8.2077 0.5560
Ru -4.0000 3.7952 1.1089
Y -6.3574 5.4506 1.8255
```

* total magnetic moment: 0.000 μB/f.u.
* calculated density: 11.29 g/cm³
* SG: C2/m, No. 12

b:
YReRu2: optimized geometry, PBE.

Cell and atoms, written as extended XYZ:
```
4
Lattice="4.6608 0.0000 0.0000 0.0000 3.1042 -0.1487 0.0000 0.3485 4.6717" Properties=species:S:1:pos:R:3 pbc="T T T"
Ru 0.0000 0.6199 4.1625
Ru 2.3304 0.4014 1.6623
Y 0.0000 2.0015 1.7176
Re 2.3304 2.5047 3.9136
```

* total magnetic moment: 0.000 μB/f.u.
* calculated density: 11.68 g/cm³
* SG: Pm, No. 6

Tell me which of them is the least stable. Sure, it is a.

a:
YRe3Ru: optimized geometry, PBE.

Cell and atoms, written as extended XYZ:
```
5
Lattice="-4.1407 -2.1666 -0.3108 0.1702 -0.9817 4.5764 -2.1822 4.0346 0.9466" Properties=species:S:1:pos:R:3 pbc="T T T"
Ru -3.0763 0.4431 2.6061
Re -2.0703 -1.0833 -0.1554
Re -1.0911 2.0173 0.4733
Re 0.0851 -0.4908 2.2882
Y 0.0000 0.0000 0.0000
```

* total magnetic moment: 0.000 μB/f.u.
* calculated density: 12.10 g/cm³
* SG: Pm-3m, No. 221

b:
YRe3Ru: optimized geometry, PBE.

Cell and atoms, written as extended XYZ:
```
5
Lattice="4.7121 0.0000 0.0000 0.0000 4.7121 0.0000 0.0000 0.0000 4.7121" Properties=species:S:1:pos:R:3 pbc="T T T"
Re 0.0000 2.3561 0.0000
Re 0.0000 0.0000 2.3561
Re 2.3561 0.0000 0.0000
Ru 0.0000 0.0000 0.0000
Y 2.3561 2.3561 2.3561
```

* total magnetic moment: 0.000 μB/f.u.
* calculated density: 11.88 g/cm³
* SG: Pm-3m, No. 221

Tell me which of them is the least stable. Sure, it is a.

a:
ZnRe3Ru: optimized geometry, PBE.

Cell and atoms, written as extended XYZ:
```
5
Lattice="-1.8175 -4.0177 0.1635 0.6359 -0.1101 4.3652 -3.9704 1.8215 0.6244" Properties=species:S:1:pos:R:3 pbc="T T T"
Zn 0.0000 0.0000 0.0000
Re 0.3180 -0.0550 2.1826
Re -0.9088 -2.0088 0.0817
Re -1.9852 0.9108 0.3122
Ru -2.5760 -1.1531 2.5765
```

* total magnetic moment: 0.000 μB/f.u.
* calculated density: 14.01 g/cm³
* SG: Pm-3m, No. 221

b:
ZnRe3Ru: optimized geometry, PBE.

Cell and atoms, written as extended XYZ:
```
5
Lattice="4.6656 0.0000 0.0000 0.0000 4.6656 0.0000 0.0000 0.0000 4.6656" Properties=species:S:1:pos:R:3 pbc="T T T"
Re 0.0000 0.0000 2.3328
Re 2.3328 0.0000 0.0000
Re 0.0000 2.3328 0.0000
Zn 2.3328 2.3328 2.3328
Ru 0.0000 0.0000 0.0000
```

* total magnetic moment: 1.188 μB/f.u.
* calculated density: 11.86 g/cm³
* SG: Pm-3m, No. 221

Tell me which of them is the least stable. Sure, it is b.

a:
ZnReRu3: optimized geometry, PBE.

Cell and atoms, written as extended XYZ:
```
5
Lattice="4.3688 0.0000 0.0000 0.0000 4.3688 0.0000 0.0000 0.0000 4.3688" Properties=species:S:1:pos:R:3 pbc="T T T"
Ru 2.1844 0.0000 0.0000
Ru 0.0000 2.1844 0.0000
Ru 0.0000 0.0000 2.1844
Zn 0.0000 0.0000 0.0000
Re 2.1844 2.1844 2.1844
```

* total magnetic moment: 0.000 μB/f.u.
* calculated density: 11.05 g/cm³
* SG: Pm-3m, No. 221

b:
ZnReRu3: optimized geometry, PBE.

Cell and atoms, written as extended XYZ:
```
5
Lattice="4.6668 0.0000 0.0000 0.0000 4.6668 0.0000 0.0000 0.0000 4.6668" Properties=species:S:1:pos:R:3 pbc="T T T"
Zn 2.3334 2.3334 2.3334
Re 0.0000 0.0000 0.0000
Ru 2.3334 0.0000 0.0000
Ru 0.0000 0.0000 2.3334
Ru 0.0000 2.3334 0.0000
```

* total magnetic moment: 0.001 μB/f.u.
* calculated density: 9.06 g/cm³
* SG: Pm-3m, No. 221

Tell me which of them is the least stable. Sure, it is a.